Entry 1:
{
  "formula": "ReSb2Ru",
  "functional": "PBE-GGA",
  "state": "optimized geometry",
  "cell": [[10.6588, -0.0015, -0.0009], [10.2183, 3.0326, -0.0009], [10.2183, 1.4836, 2.6450]],
  "species": ["Re", "Sb", "Ru", "Sb"],
  "frac_coords": [[0.4906, 0.4906, 0.4906], [0.2258, 0.2258, 0.2258], [0.7582, 0.7582, 0.7582], [0.0255, 0.0255, 0.0255]],
  "dos_at_fermi_per_ev_cell": 3.36,
  "energy_ev_per_cell": -28.41,
  "space_group": "R3m",
  "raw_formation_energy_ev_per_atom": 0.389
}

Entry 2:
{
  "formula": "ReSb2Ru",
  "functional": "PBE-GGA",
  "state": "optimized geometry",
  "cell": [[4.2733, 0.0000, 0.0000], [0.0000, 3.1568, -0.0290], [0.0000, 0.1975, 5.5815]],
  "species": ["Sb", "Sb", "Re", "Ru"],
  "frac_coords": [[0.0000, 0.5269, 0.4967], [0.0000, 0.9731, 0.0033], [0.5000, 0.2500, 0.2500], [0.5000, 0.7500, 0.7500]],
  "dos_at_fermi_per_ev_cell": 3.35,
  "energy_ev_per_cell": -26.97,
  "space_group": "P2/m",
  "raw_formation_energy_ev_per_atom": 0.750
}